This record from Alexandria describes a relaxed structure of CaNi3As2. The functional is PBE-GGA.

Cell lengths 8.0505, 8.0505, 9.5344 Å; angles 105.99, 105.99, 27.61 degrees
With the nearest neighbours (Å) after each atom.
Atoms (fractional coordinates):
Ca  0.0000  0.0000  0.0000  6 As 3.00-3.01, 6 Ni 3.04-3.08
Ca  0.1557  0.1557  0.7010  6 As 2.94-3.05, 8 Ni 3.07-3.28
Ca  0.8443  0.8443  0.2990  6 As 2.94-3.05, 8 Ni 3.07-3.28
Ni  0.0472  0.0472  0.3366  4 As 2.40-2.49, 1 Ni 2.55
Ni  0.2163  0.2163  0.3905  4 As 2.30-2.43, 1 Ni 2.55
Ni  0.3213  0.3213  0.0291  4 As 2.38-2.46, 1 Ni 2.60
Ni  0.3744  0.3744  0.7942  4 As 2.34-2.55, 1 Ni 2.60
Ni  0.5000  0.5000  0.5000  4 As 2.35-2.57
Ni  0.6256  0.6256  0.2058  4 As 2.34-2.55, 1 Ni 2.60
Ni  0.6787  0.6787  0.9709  4 As 2.38-2.46, 1 Ni 2.60
Ni  0.7837  0.7837  0.6095  4 As 2.30-2.43, 1 Ni 2.55
Ni  0.9528  0.9528  0.6634  4 As 2.40-2.49, 1 Ni 2.55
As  0.1994  0.1994  0.1326  6 Ni 2.38-2.44
As  0.3596  0.3596  0.5435  7 Ni 2.30-2.49
As  0.4654  0.4654  0.2201  5 Ni 2.40-2.57
As  0.5346  0.5346  0.7799  5 Ni 2.40-2.57
As  0.6404  0.6404  0.4565  7 Ni 2.30-2.49
As  0.8006  0.8006  0.8674  6 Ni 2.38-2.44

Results
Space-group type: C2/m
Excess energy over the best structure of this formula in the dataset, meV per atom: 0